# 1
Density functional theory data (GGA-PBE) for a relaxed structure of BiSbSCl2.

M_tot in μB per atom: 0.39
Energy relative to the elements, uncorrected in kJ/mol of atoms: 1.0
Polymorph energy (0 for the lowest one) in meV per atom: 0

Geometry as POSCAR:
```
BiSbSCl2
1.0
5.243 0.000 0.000
0.000 5.243 0.000
0.000 0.000 5.423
Bi Sb S Cl
1 1 1 2
Direct
0.000 0.000 0.000
0.500 0.500 0.500
0.500 0.500 0.000
0.000 0.500 0.500
0.500 0.000 0.500
```



# 2
Density functional theory data (GGA-PBE) for a relaxed structure of Ca2CoPbCl8.

M_tot in μB per atom: 0.25
Energy relative to the elements, uncorrected in kJ/mol of atoms: -151.8

Geometry as POSCAR:
```
Ca2CoPbCl8
1.0
6.190 0.000 0.000
0.000 8.295 0.000
-0.074 0.000 6.451
Ca Co Pb Cl
2 1 1 8
Direct
0.000 0.235 0.000
0.000 0.765 0.000
0.500 0.000 0.500
0.500 0.500 0.500
0.216 0.500 0.848
0.242 0.000 0.810
0.285 0.214 0.336
0.285 0.786 0.336
0.715 0.214 0.664
0.715 0.786 0.664
0.758 0.000 0.190
0.784 0.500 0.152
```



# 3
Density functional theory data (GGA-PBE) for a relaxed structure of La3Si4Pt2.

M_tot in μB per atom: 0.00
Energy relative to the elements, uncorrected in kJ/mol of atoms: -94.2
Polymorph energy (0 for the lowest one) in meV per atom: 76

Geometry as POSCAR:
```
La3Si4Pt2
1.0
5.688 -2.118 0.000
5.688 2.118 0.000
-3.050 0.000 8.091
La Si Pt
3 4 2
Direct
0.000 0.000 0.000
0.391 0.391 0.318
0.609 0.609 0.682
0.138 0.138 0.419
0.271 0.271 0.939
0.729 0.729 0.061
0.862 0.862 0.581
0.327 0.327 0.692
0.673 0.673 0.308
```



# 4
Density functional theory data (GGA-PBE) for a relaxed structure of CsZn3Pt.

M_tot in μB per atom: 0.00
Calculated formation energy in eV/f.u.: -1.241
Polymorph energy (0 for the lowest one) in meV per atom: 0

Geometry as POSCAR:
```
CsZn3Pt
1.0
5.061 0.000 0.000
0.000 5.061 0.000
0.000 0.000 5.061
Cs Zn Pt
1 3 1
Direct
0.000 0.000 0.000
0.000 0.500 0.500
0.500 0.000 0.500
0.500 0.500 0.000
0.500 0.500 0.500
```



# 5
Density functional theory data (GGA-PBE) for a relaxed structure of Cr2Tc.

M_tot in μB per atom: 0.00
Calculated formation energy in eV/f.u.: 1.425
Polymorph energy (0 for the lowest one) in meV per atom: 451

Geometry as POSCAR:
```
Cr2Tc
1.0
2.743 0.000 0.000
0.000 4.174 0.000
0.000 0.000 13.901
Cr Tc
8 4
Direct
0.000 0.250 0.023
0.000 0.250 0.188
0.000 0.750 0.812
0.000 0.750 0.977
0.500 0.250 0.312
0.500 0.250 0.477
0.500 0.750 0.523
0.500 0.750 0.688
0.000 0.250 0.639
0.000 0.750 0.361
0.500 0.250 0.861
0.500 0.750 0.139
```



# 6
Density functional theory data (GGA-PBE) for a relaxed structure of Ba7Sb3O2.

M_tot in μB per atom: 0.00
Energy relative to the elements, uncorrected in kJ/mol of atoms: -144.3
Polymorph energy (0 for the lowest one) in meV per atom: 0

Geometry as POSCAR:
```
Ba7Sb3O2
1.0
-2.696 2.696 14.679
2.696 -2.696 14.679
2.696 2.696 -14.679
Ba Sb O
7 3 2
Direct
0.000 0.000 0.000
0.096 0.596 0.500
0.202 0.202 0.000
0.404 0.904 0.500
0.596 0.096 0.500
0.798 0.798 0.000
0.904 0.404 0.500
0.321 0.321 0.000
0.500 0.500 0.000
0.679 0.679 0.000
0.093 0.093 0.000
0.907 0.907 0.000
```



# 7
Density functional theory data (GGA-PBE) for a relaxed structure of CsErHgTe3.

M_tot in μB per atom: 0.00
Energy relative to the elements, uncorrected in kJ/mol of atoms: -92.8

Geometry as POSCAR:
```
CsErHgTe3
1.0
10.038 0.000 0.000
0.000 4.539 0.000
-4.071 0.000 10.463
Cs Er Hg Te
2 2 2 6
Direct
0.223 0.250 0.255
0.777 0.750 0.745
0.330 0.750 0.865
0.670 0.250 0.135
0.083 0.250 0.615
0.917 0.750 0.385
0.119 0.250 0.875
0.231 0.750 0.556
0.472 0.750 0.153
0.528 0.250 0.847
0.769 0.250 0.444
0.881 0.750 0.125
```



# 8
Density functional theory data (GGA-PBE) for a relaxed structure of CoAg2Sb.

M_tot in μB per atom: 0.13
Energy relative to the elements, uncorrected in kJ/mol of atoms: 28.0

Geometry as POSCAR:
```
CoAg2Sb
1.0
3.878 0.000 0.000
0.000 3.878 0.000
0.000 0.000 9.221
Co Ag Sb
2 4 2
Direct
0.000 0.000 0.000
0.500 0.500 0.500
0.000 0.500 0.250
0.000 0.500 0.750
0.500 0.000 0.250
0.500 0.000 0.750
0.000 0.000 0.500
0.500 0.500 0.000
```



# 9
Density functional theory data (GGA-PBE) for a relaxed structure of CePmSmAg.

M_tot in μB per atom: 0.61
Calculated formation energy in eV/f.u.: 0.520

Geometry as POSCAR:
```
CePmSmAg
1.0
7.661 0.000 0.000
0.000 7.661 0.000
0.000 0.000 7.661
Ce Pm Sm Ag
4 4 4 4
Direct
0.000 0.000 0.000
0.000 0.500 0.500
0.500 0.000 0.500
0.500 0.500 0.000
0.250 0.250 0.250
0.250 0.750 0.750
0.750 0.250 0.750
0.750 0.750 0.250
0.000 0.000 0.500
0.000 0.500 0.000
0.500 0.000 0.000
0.500 0.500 0.500
0.250 0.250 0.750
0.250 0.750 0.250
0.750 0.250 0.250
0.750 0.750 0.750
```



# 10
Density functional theory data (GGA-PBE) for a relaxed structure of CeTmIn.

M_tot in μB per atom: 0.32
Calculated formation energy in eV/f.u.: -0.632
Polymorph energy (0 for the lowest one) in meV per atom: 60

Geometry as POSCAR:
```
CeTmIn
1.0
3.458 0.000 0.000
0.000 3.458 0.000
0.000 0.000 14.209
Ce Tm In
2 2 2
Direct
0.000 0.000 0.000
0.500 0.500 0.500
0.000 0.000 0.687
0.500 0.500 0.187
0.000 0.000 0.337
0.500 0.500 0.837
```



# 11
Density functional theory data (GGA-PBE) for a relaxed structure of Sn3Sb2S8.

M_tot in μB per atom: 0.00
Energy relative to the elements, uncorrected in kJ/mol of atoms: -22.0

Geometry as POSCAR:
```
Sn3Sb2S8
1.0
7.518 -3.781 0.000
7.518 3.781 0.000
-2.184 0.000 6.154
Sn Sb S
3 2 8
Direct
0.000 0.000 0.000
0.249 0.751 0.500
0.751 0.249 0.500
0.313 0.313 0.854
0.687 0.687 0.146
0.105 0.105 0.412
0.122 0.650 0.083
0.350 0.878 0.917
0.386 0.386 0.562
0.614 0.614 0.438
0.650 0.122 0.083
0.878 0.350 0.917
0.895 0.895 0.588
```



# 12
Density functional theory data (GGA-PBE) for a relaxed structure of Si3Rh.

M_tot in μB per atom: 0.00
Energy relative to the elements, uncorrected in kJ/mol of atoms: -3.5

Geometry as POSCAR:
```
Si3Rh
1.0
2.992 0.000 0.000
-1.496 2.591 0.000
0.000 0.000 7.431
Si Rh
3 1
Direct
0.000 0.000 0.000
0.667 0.333 0.259
0.667 0.333 0.741
0.000 0.000 0.500
```



Question: Which value of M_tot does entry 7 give?
Answer: 0.00 μB per atom



Question: Look up the M_tot of the ninth one.
Answer: 0.61 μB per atom



Question: What is the M_tot in the second record?
Answer: 0.25 μB per atom